Record 1
SnSeN2O | PBE-GGA | relaxed

Cell lengths 3.9269, 3.9269, 3.9288 Å; angles 90.00, 90.00, 90.00 degrees
Fractional positions:
Sn1 0.0000 0.0000 0.0000
Se1 0.5000 0.5000 0.5000
N1 0.0000 0.5000 0.5000
N2 0.5000 0.0000 0.5000
O1 0.5000 0.5000 0.0000

Output
DFT total energy: -4.921 eV/atom
volume: 60.6 Å³ per cell
size of the total moment: 0.2 μB/f.u.
mass density: 6.6 Mg/m³
crystal system: tetragonal
formation energy without anion corrections: 0.898 eV/atom

---

Record 2
Ca3U3As8Au | PBE-GGA | relaxed

Cell lengths 8.4404, 8.4404, 8.4404 Å; angles 56.79, 56.79, 56.79 degrees
Fractional positions:
Ca1 0.0000 0.5000 0.5000
Ca2 0.5000 0.0000 0.5000
Ca3 0.5000 0.5000 0.0000
U1 0.0000 0.0000 0.5000
U2 0.0000 0.5000 0.0000
U3 0.5000 0.0000 0.0000
As1 0.2435 0.7421 0.7421
As2 0.2446 0.2446 0.2446
As3 0.2579 0.2579 0.7565
As4 0.2579 0.7565 0.2579
As5 0.7421 0.2435 0.7421
As6 0.7421 0.7421 0.2435
As7 0.7554 0.7554 0.7554
As8 0.7565 0.2579 0.2579
Au1 0.5000 0.5000 0.5000

Output
DFT total energy: -5.998 eV/atom
volume: 393.7 Å³ per cell
ΔE_f: -929 kJ/mol of formula units
size of the total moment: 3.9 μB/f.u.
mass density: 6.9 Mg/m³
crystal system: trigonal

---

Record 3
La3Dy2Y2 | PBE-GGA | relaxed

Cell lengths 9.0817, 9.0817, 8.6626 Å; angles 118.00, 118.00, 22.45 degrees
Fractional positions:
La1 0.0000 0.0000 0.0000
La2 0.2128 0.2128 0.2984
La3 0.7872 0.7872 0.7016
Dy1 0.4356 0.4356 0.5894
Dy2 0.5644 0.5644 0.4106
Y1 0.1420 0.1420 0.8218
Y2 0.8580 0.8580 0.1782

Output
DFT total energy: -5.169 eV/atom
volume: 239.6 Å³ per cell
ΔE_f: 71 kJ/mol of formula units
size of the total moment: 0.0 μB/f.u.
mass density: 6.4 Mg/m³
energy above the most stable polymorph in this dataset: 80 meV/atom
crystal system: monoclinic

---

Record 4
Mn2CrHPt | PBE-GGA | relaxed

Cell lengths 3.6893, 3.6893, 3.7054 Å; angles 90.00, 90.00, 90.00 degrees
Fractional positions:
Mn1 0.0000 0.5000 0.0000
Mn2 0.5000 0.0000 0.0000
Cr1 0.0000 0.0000 0.5000
H1 0.0000 0.0000 0.0000
Pt1 0.5000 0.5000 0.5000

Output
DFT total energy: -7.535 eV/atom
volume: 50.4 Å³ per cell
size of the total moment: 0.2 μB/f.u.
mass density: 11.8 Mg/m³
energy above the most stable polymorph in this dataset: 55 meV/atom
crystal system: tetragonal

---

Q: Number 1 is which compound?
A: SnSeN2O

---

Q: Which formula does entry 4 have?
A: Mn2CrHPt

---

Repeat the first record exactly.
SnSeN2O | PBE-GGA | relaxed

Cell lengths 3.9269, 3.9269, 3.9288 Å; angles 90.00, 90.00, 90.00 degrees
Fractional positions:
Sn1 0.0000 0.0000 0.0000
Se1 0.5000 0.5000 0.5000
N1 0.0000 0.5000 0.5000
N2 0.5000 0.0000 0.5000
O1 0.5000 0.5000 0.0000

Output
DFT total energy: -4.921 eV/atom
volume: 60.6 Å³ per cell
size of the total moment: 0.2 μB/f.u.
mass density: 6.6 Mg/m³
crystal system: tetragonal
formation energy without anion corrections: 0.898 eV/atom